BaYMo4: optimized geometry, PBE-GGA.

The structure belongs to space group F-43m (No. 216); the cell edges are 7.947, 7.947 and 7.947 Å and the angles 90.00°, 90.00° and 90.00°. Symmetry generates all atoms from Ba at (0.000, 0.000, 0.000), Y at (0.250, 0.250, 0.250) and Mo at (0.125, 0.125, 0.625).

The magnetic moment comes out at 0.000 μB/cell. For the energy of formation, the calculation gives 0.60 eV/atom.

***

BaY2Mo2: optimized geometry, PBE-GGA.

The structure belongs to space group P4/mbm (No. 127); the cell edges are 8.881, 8.881 and 3.447 Å and the angles 90.00°, 90.00° and 90.00°. Symmetry generates all atoms from Ba at (0.000, 0.000, 0.000), Y at (0.185, 0.315, 0.000) and Mo at (0.090, 0.590, 0.500).

The magnetic moment comes out at 0.000 μB/cell. For the energy of formation, the calculation gives 0.60 eV/atom.

***

Ba2YMo: optimized geometry, PBE-GGA.

The structure belongs to space group P4/mmm (No. 123); the cell edges are 5.010, 5.010 and 5.492 Å and the angles 90.00°, 90.00° and 90.00°. Symmetry generates all atoms from Ba at (0.000, 0.500, 0.000), Y at (0.000, 0.000, 0.500) and Mo at (0.500, 0.500, 0.500).

The magnetic moment comes out at 1.816 μB/cell. For the energy of formation, the calculation gives 0.95 eV/atom.

***

Ba2YMo: optimized geometry, PBE-GGA.

The structure belongs to space group I4/mmm (No. 139); the cell edges are 4.936, 4.936 and 11.355 Å and the angles 90.00°, 90.00° and 90.00°. Symmetry generates all atoms from Ba at (0.000, 0.500, 0.250), Y at (0.000, 0.000, 0.000) and Mo at (0.000, 0.000, 0.500).

The magnetic moment comes out at 4.424 μB/cell. For the energy of formation, the calculation gives 0.96 eV/atom.

***

BaY3Mo: optimized geometry, PBE-GGA.

The structure belongs to space group Pm-3m (No. 221); the cell edges are 5.597, 5.597 and 5.597 Å and the angles 90.00°, 90.00° and 90.00°. Symmetry generates all atoms from Ba at (0.000, 0.000, 0.000), Y at (0.000, 0.500, 0.500) and Mo at (0.500, 0.500, 0.500).

The magnetic moment comes out at 0.000 μB/cell. For the energy of formation, the calculation gives 0.31 eV/atom.

***

Ba2YMo: optimized geometry, PBE-GGA.

The structure belongs to space group Cm (No. 8); the cell edges are 9.969, 3.765 and 9.362 Å and the angles 90.00°, 106.26° and 90.00°. Symmetry generates all atoms from Ba at (0.000, 0.000, 0.000), Ba at (0.158, 0.000, 0.603), Y at (0.312, 0.500, 0.301) and Mo at (0.042, 0.500, 0.301).

The magnetic moment comes out at 2.611 μB/cell. For the energy of formation, the calculation gives 0.69 eV/atom.

***

Ba2YMo: optimized geometry, PBE-GGA.

The structure belongs to space group Immm (No. 71); the cell edges are 3.556, 4.762 and 18.712 Å and the angles 90.00°, 90.00° and 90.00°. Symmetry generates all atoms from Ba at (0.000, 0.000, 0.155), Y at (0.000, 0.500, 0.000) and Mo at (0.000, 0.500, 0.500).

The magnetic moment comes out at 0.002 μB/cell. For the energy of formation, the calculation gives 0.67 eV/atom.

***

Ba2YMo: optimized geometry, PBE-GGA.

The structure belongs to space group R3m (No. 160, hexagonal axes); the cell edges are 3.8193, 3.8193 and 34.9110 Å and the angles 90.00°, 90.00° and 120.00°. Symmetry generates all atoms from Ba at (0.0000, 0.0000, 0.0000), Ba at (0.0000, 0.0000, 0.2214), Y at (0.0000, 0.0000, 0.7649) and Mo at (0.0000, 0.0000, 0.4868).

The magnetic moment comes out at 3.859 μB/cell. For the energy of formation, the calculation gives 0.77 eV/atom.